This record from Alexandria describes a geometry-optimized SrBiI6 structure. The functional is PBE.

Cell and atoms, written as POSCAR:
```
SrBiI6
1.0
-4.719 -4.535 -4.538
3.185 -4.764 -5.520
-0.072 -8.024 1.152
I Bi Sr
6 1 1
direct
0.050 0.429 0.749
0.229 0.951 0.250
0.428 0.771 0.751
0.950 0.571 0.251
0.771 0.049 0.750
0.572 0.229 0.249
0.000 0.000 0.000
0.500 0.500 0.500
```

SG: P-1 (2)
formation energy without anion corrections: -721 meV/atom
magnetic moment: 0.01 μB per cell
density of states at the Fermi level: 14.18 states/eV/f.u.